Crystalline Na2ZnPHO5 at its relaxed geometry, computed with PBE-GGA.

Results
As for the calculated total energy: -226.5 eV/cell.

abc: 8.651 10.028 5.865
angles: 90.00 104.62 90.00
Space group P2_1/c (No. 14)
Inequivalent atoms, fractional coordinates:
1 Na 0.113 0.169 0.350 (multiplicity 4)
2 Na 0.199 0.644 0.809 (multiplicity 4)
3 Zn 0.489 0.142 0.225 (multiplicity 4)
4 P 0.206 0.008 0.861 (multiplicity 4)
5 H 0.455 0.123 0.634 (multiplicity 4)
6 O 0.081 0.106 0.717 (multiplicity 4)
7 O 0.140 0.633 0.381 (multiplicity 4)
8 O 0.271 0.066 0.119 (multiplicity 4)
9 O 0.348 0.000 0.738 (multiplicity 4)
10 O 0.487 0.691 0.936 (multiplicity 4)